(1)
Material: Zn3Ag7
Method: DFT, PBE
State: relaxed

```
Zn3Ag7
1.0
8.431 0.000 0.000
-4.216 7.302 0.000
0.000 0.000 5.687
Zn Ag
6 14
Direct
0.210 0.420 0.000
0.210 0.790 0.000
0.420 0.210 0.500
0.580 0.790 0.000
0.790 0.210 0.500
0.790 0.580 0.500
0.047 0.523 0.309
0.120 0.239 0.566
0.120 0.880 0.566
0.239 0.120 0.066
0.333 0.667 0.635
0.477 0.523 0.309
0.477 0.953 0.309
0.523 0.047 0.809
0.523 0.477 0.809
0.667 0.333 0.135
0.761 0.880 0.566
0.880 0.120 0.066
0.880 0.761 0.066
0.953 0.477 0.809
```

Results
Electronic total energy = -2.33 eV/atom
Symmetry = P6_3mc
DOS(E_F) = 3.9 states/eV/f.u.
DFT formation energy = 0.044 eV/atom
E above lowest polymorph = 65 meV/atom
Crystal system = hexagonal


(2)
Material: MnBeZn2Mo
Method: DFT, PBE
State: relaxed

```
MnBeZn2Mo
1.0
4.086 0.000 0.000
0.000 4.086 0.000
0.000 0.000 4.088
Mn Be Zn Mo
1 1 2 1
Direct
0.000 0.000 0.000
0.000 0.000 0.500
0.000 0.500 0.500
0.500 0.000 0.500
0.500 0.500 0.000
```

Results
Electronic total energy = -4.61 eV/atom
Symmetry = P4/mmm
DOS(E_F) = 3.1 states/eV/f.u.
DFT formation energy = 0.647 eV/atom
Crystal system = tetragonal


no.,size of the total moment (Bohr magnetons per cell)
1,0.00
2,2.70